No. 1
Crystalline MgZn2I6 at its relaxed geometry, computed with PBE.

Cell lengths 9.9133, 9.9133, 8.9113 Å; angles 109.04, 109.04, 23.98 degrees
Sites, in units of the cell vectors:
1 Mg 0.0000 0.0000 0.0000
2 Zn 0.3328 0.3328 0.6643
3 Zn 0.6672 0.6672 0.3357
4 I 0.1607 0.1607 0.1042
5 I 0.1755 0.1755 0.5652
6 I 0.4908 0.4908 0.7606
7 I 0.5092 0.5092 0.2394
8 I 0.8245 0.8245 0.4348
9 I 0.8393 0.8393 0.8958

## Properties
- SG = No. 12
- raw total energy (eV per atom) = -2.145
- crystal system = monoclinic
- uncorrected formation energy (eV/atom) = -0.651


No. 2
Crystalline HfTa2HSe at its relaxed geometry, computed with PBE.

Cell lengths 5.0556, 5.0556, 4.9901 Å; angles 90.00, 90.00, 90.00 degrees
Sites, in units of the cell vectors:
1 Hf 0.0000 0.0000 0.0000
2 Ta 0.0000 0.5000 0.0000
3 Ta 0.5000 0.0000 0.0000
4 H 0.5000 0.5000 0.5000
5 Se 0.0000 0.0000 0.5000

## Properties
- SG = No. 123
- raw total energy (eV per atom) = -6.084
- crystal system = tetragonal


No. 3
Crystalline NbHgTe2 at its relaxed geometry, computed with PBE.

Cell lengths 7.9368, 7.9368, 7.9368 Å; angles 136.57, 136.57, 63.10 degrees
Sites, in units of the cell vectors:
1 Nb 0.3750 0.6250 0.7500
2 Nb 0.6250 0.3750 0.2500
3 Hg 0.1250 0.8750 0.2500
4 Hg 0.8750 0.1250 0.7500
5 Te 0.1634 0.4134 0.7500
6 Te 0.4134 0.1634 0.2500
7 Te 0.5866 0.8366 0.7500
8 Te 0.8366 0.5866 0.2500

## Properties
- SG = No. 141
- relative energy among the computed polymorphs (eV per atom) = 0.397
- raw total energy (eV per atom) = -4.104
- crystal system = tetragonal
- uncorrected formation energy (eV/atom) = 0.060


No. 4
Crystalline Li2TcAs2 at its relaxed geometry, computed with PBE.

Cell lengths 6.6223, 6.6223, 3.2003 Å; angles 90.00, 90.00, 90.00 degrees
Sites, in units of the cell vectors:
1 Li 0.1183 0.3817 0.0000
2 Li 0.3817 0.8817 0.0000
3 Li 0.6183 0.1183 0.0000
4 Li 0.8817 0.6183 0.0000
5 Tc 0.0000 0.0000 0.0000
6 Tc 0.5000 0.5000 0.0000
7 As 0.1830 0.6830 0.5000
8 As 0.3170 0.1830 0.5000
9 As 0.6830 0.8170 0.5000
10 As 0.8170 0.3170 0.5000

## Properties
- SG = No. 127
- DFT formation energy (eV per atom) = 0.053
- relative energy among the computed polymorphs (eV per atom) = 0.425
- raw total energy (eV per atom) = -4.646
- crystal system = tetragonal


No. 5
Crystalline YTa2Cl at its relaxed geometry, computed with PBE.

Cell lengths 3.4095, 3.4095, 8.8288 Å; angles 90.00, 90.00, 90.00 degrees
Sites, in units of the cell vectors:
1 Y 0.0000 0.0000 0.0000
2 Ta 0.0000 0.0000 0.6205
3 Ta 0.5000 0.5000 0.7651
4 Cl 0.5000 0.5000 0.1861

## Properties
- SG = No. 99
- relative energy among the computed polymorphs (eV per atom) = 0.037
- raw total energy (eV per atom) = -8.153
- crystal system = tetragonal
- uncorrected formation energy (eV/atom) = -0.149


No. 6
Crystalline TmPuGaO6 at its relaxed geometry, computed with PBE.

Cell lengths 5.5003, 5.5003, 8.7456 Å; angles 90.00, 90.00, 120.00 degrees
Sites, in units of the cell vectors:
1 Tm 0.3333 0.6667 0.2500
2 Tm 0.6667 0.3333 0.7500
3 Pu 0.3333 0.6667 0.7500
4 Pu 0.6667 0.3333 0.2500
5 Ga 0.0000 0.0000 0.0000
6 Ga 0.0000 0.0000 0.5000
7 O 0.0218 0.3342 0.6252
8 O 0.0218 0.6877 0.8748
9 O 0.3123 0.3342 0.8748
10 O 0.3123 0.9782 0.6252
11 O 0.3342 0.0218 0.1252
12 O 0.3342 0.3123 0.3748
13 O 0.6658 0.6877 0.6252
14 O 0.6658 0.9782 0.8748
15 O 0.6877 0.0218 0.3748
16 O 0.6877 0.6658 0.1252
17 O 0.9782 0.3123 0.1252
18 O 0.9782 0.6658 0.3748

## Properties
- SG = No. 163
- raw total energy (eV per atom) = -8.151
- crystal system = trigonal
- uncorrected formation energy (eV/atom) = -2.420


No. 7
Crystalline LaGa3Se at its relaxed geometry, computed with PBE.

Cell lengths 5.1767, 5.1767, 5.1767 Å; angles 90.00, 90.00, 90.00 degrees
Sites, in units of the cell vectors:
1 La 0.0000 0.0000 0.0000
2 Ga 0.0000 0.5000 0.5000
3 Ga 0.5000 0.0000 0.5000
4 Ga 0.5000 0.5000 0.0000
5 Se 0.5000 0.5000 0.5000

## Properties
- SG = No. 221
- relative energy among the computed polymorphs (eV per atom) = 0.000
- raw total energy (eV per atom) = -3.430
- crystal system = cubic
- uncorrected formation energy (eV/atom) = 0.069


No. 8
Crystalline TcIr3C at its relaxed geometry, computed with PBE.

Cell lengths 4.6817, 4.6817, 4.6817 Å; angles 90.00, 90.00, 90.00 degrees
Sites, in units of the cell vectors:
1 Tc 0.0000 0.0000 0.0000
2 Ir 0.0000 0.0000 0.5000
3 Ir 0.0000 0.5000 0.0000
4 Ir 0.5000 0.0000 0.0000
5 C 0.5000 0.5000 0.5000

## Properties
- SG = No. 221
- DFT formation energy (eV per atom) = 3.039
- relative energy among the computed polymorphs (eV per atom) = 2.365
- raw total energy (eV per atom) = -6.195
- crystal system = cubic


No. 9
Crystalline Ba2PtCl at its relaxed geometry, computed with PBE.

Cell lengths 4.6201, 4.6201, 6.4453 Å; angles 90.00, 90.00, 90.00 degrees
Sites, in units of the cell vectors:
1 Ba 0.0000 0.0000 0.0000
2 Ba 0.5000 0.5000 0.5000
3 Pt 0.0000 0.0000 0.5000
4 Cl 0.5000 0.5000 0.0000

## Properties
- SG = No. 123
- relative energy among the computed polymorphs (eV per atom) = 0.058
- raw total energy (eV per atom) = -4.247
- crystal system = tetragonal
- uncorrected formation energy (eV/atom) = -1.314


No. 10
Crystalline ScRe2Ag at its relaxed geometry, computed with PBE.

Cell lengths 9.5470, 9.5470, 9.5470 Å; angles 17.37, 17.37, 17.37 degrees
Sites, in units of the cell vectors:
1 Sc 0.0000 0.0000 0.0000
2 Re 0.4901 0.4901 0.4901
3 Re 0.7505 0.7505 0.7505
4 Ag 0.2446 0.2446 0.2446

## Properties
- SG = No. 160
- DFT formation energy (eV per atom) = 0.211
- relative energy among the computed polymorphs (eV per atom) = 0.170
- raw total energy (eV per atom) = -8.309
- crystal system = trigonal


No. 11
Crystalline TaBRu3 at its relaxed geometry, computed with PBE.

Cell lengths 3.3213, 3.3213, 15.9333 Å; angles 90.00, 90.00, 120.00 degrees
Sites, in units of the cell vectors:
1 Ta 0.0000 0.0000 0.0000
2 Ta 0.0000 0.0000 0.5000
3 B 0.3333 0.6667 0.2500
4 B 0.6667 0.3333 0.7500
5 Ru 0.0000 0.0000 0.2500
6 Ru 0.0000 0.0000 0.7500
7 Ru 0.3333 0.6667 0.1138
8 Ru 0.3333 0.6667 0.3862
9 Ru 0.6667 0.3333 0.6138
10 Ru 0.6667 0.3333 0.8862

## Properties
- SG = No. 194
- DFT formation energy (eV per atom) = 0.333
- raw total energy (eV per atom) = -8.939
- crystal system = hexagonal


No. 12
Crystalline KTaO3 at its relaxed geometry, computed with PBE.

Cell lengths 3.4177, 5.3819, 7.5862 Å; angles 90.00, 90.28, 90.00 degrees
Sites, in units of the cell vectors:
1 K 0.2442 0.2500 0.3892
2 K 0.7558 0.7500 0.6108
3 Ta 0.2516 0.7500 0.0971
4 Ta 0.7484 0.2500 0.9029
5 O 0.2488 0.0106 0.8880
6 O 0.2488 0.4894 0.8880
7 O 0.2534 0.7500 0.3400
8 O 0.7466 0.2500 0.6600
9 O 0.7512 0.5106 0.1120
10 O 0.7512 0.9894 0.1120

## Properties
- SG = No. 11
- raw total energy (eV per atom) = -8.047
- crystal system = monoclinic
- uncorrected formation energy (eV/atom) = -2.482


No. 13
Crystalline ScFe3Ni at its relaxed geometry, computed with PBE.

Cell lengths 4.3554, 4.3554, 4.3554 Å; angles 90.00, 90.00, 90.00 degrees
Sites, in units of the cell vectors:
1 Sc 0.0000 0.0000 0.0000
2 Fe 0.0000 0.5000 0.5000
3 Fe 0.5000 0.0000 0.5000
4 Fe 0.5000 0.5000 0.0000
5 Ni 0.5000 0.5000 0.5000

## Properties
- SG = No. 221
- DFT formation energy (eV per atom) = 0.590
- relative energy among the computed polymorphs (eV per atom) = 0.000
- raw total energy (eV per atom) = -6.911
- crystal system = cubic


No. 14
Crystalline MgBe3Ge at its relaxed geometry, computed with PBE.

Cell lengths 4.3302, 4.3302, 4.3302 Å; angles 90.00, 90.00, 90.00 degrees
Sites, in units of the cell vectors:
1 Mg 0.0000 0.0000 0.0000
2 Be 0.0000 0.5000 0.5000
3 Be 0.5000 0.0000 0.5000
4 Be 0.5000 0.5000 0.0000
5 Ge 0.5000 0.5000 0.5000

## Properties
- SG = No. 221
- DFT formation energy (eV per atom) = 0.860
- relative energy among the computed polymorphs (eV per atom) = 0.000
- raw total energy (eV per atom) = -2.618
- crystal system = cubic


No. 15
Crystalline Sm2Dy12Y7 at its relaxed geometry, computed with PBE.

Cell lengths 14.8568, 14.8568, 3.5305 Å; angles 90.00, 90.00, 120.00 degrees
Sites, in units of the cell vectors:
1 Sm 0.0000 0.0000 0.0000
2 Sm 0.3333 0.6667 0.5000
3 Dy 0.0522 0.2573 0.5000
4 Dy 0.1254 0.7156 0.0000
5 Dy 0.2051 0.9478 0.5000
6 Dy 0.2844 0.4097 0.0000
7 Dy 0.4153 0.1484 0.0000
8 Dy 0.4941 0.3946 0.5000
9 Dy 0.5903 0.8746 0.0000
10 Dy 0.6054 0.0995 0.5000
11 Dy 0.7331 0.5847 0.0000
12 Dy 0.7427 0.7949 0.5000
13 Dy 0.8516 0.2669 0.0000
14 Dy 0.9005 0.5059 0.5000
15 Y 0.0989 0.4817 0.0000
16 Y 0.2311 0.1841 0.5000
17 Y 0.3828 0.9011 0.0000
18 Y 0.5183 0.6172 0.0000
19 Y 0.6667 0.3333 0.0000
20 Y 0.8159 0.0470 0.5000
21 Y 0.9530 0.7689 0.5000

## Properties
- SG = No. 174
- DFT formation energy (eV per atom) = 0.043
- raw total energy (eV per atom) = -5.191
- crystal system = hexagonal


No. 16
Crystalline Fe5Ni12H2 at its relaxed geometry, computed with PBE.

Cell lengths 5.2213, 5.2213, 7.4823 Å; angles 95.77, 95.77, 89.57 degrees
Sites, in units of the cell vectors:
1 Fe 0.0000 0.0000 0.0000
2 Fe 0.1946 0.1946 0.8116
3 Fe 0.3437 0.3437 0.1255
4 Fe 0.6563 0.6563 0.8745
5 Fe 0.8054 0.8054 0.1884
6 Ni 0.1160 0.1160 0.3608
7 Ni 0.1176 0.5940 0.3776
8 Ni 0.1854 0.6452 0.8492
9 Ni 0.3548 0.8146 0.1508
10 Ni 0.4000 0.4000 0.6112
11 Ni 0.4060 0.8824 0.6224
12 Ni 0.5940 0.1176 0.3776
13 Ni 0.6000 0.6000 0.3888
14 Ni 0.6452 0.1854 0.8492
15 Ni 0.8146 0.3548 0.1508
16 Ni 0.8824 0.4060 0.6224
17 Ni 0.8840 0.8840 0.6392
18 H 0.1261 0.8739 0.5000
19 H 0.8739 0.1261 0.5000

## Properties
- SG = No. 12
- raw total energy (eV per atom) = -6.039
- crystal system = monoclinic


No. 17
Crystalline Y2Tl3HgTe6 at its relaxed geometry, computed with PBE.

Cell lengths 7.7673, 7.7673, 8.2859 Å; angles 98.89, 98.89, 120.23 degrees
Sites, in units of the cell vectors:
1 Y 0.1662 0.8338 0.0000
2 Y 0.8338 0.1662 0.0000
3 Tl 0.0000 0.0000 0.5000
4 Tl 0.3283 0.6717 0.5000
5 Tl 0.6717 0.3283 0.5000
6 Hg 0.5000 0.5000 0.0000
7 Te 0.0917 0.4279 0.7813
8 Te 0.2386 0.2386 0.2208
9 Te 0.4279 0.0917 0.7813
10 Te 0.5721 0.9083 0.2187
11 Te 0.7614 0.7614 0.7792
12 Te 0.9083 0.5721 0.2187

## Properties
- SG = No. 12
- raw total energy (eV per atom) = -3.966
- crystal system = monoclinic
- uncorrected formation energy (eV/atom) = -0.701


No. 18
Crystalline MgCu2O4 at its relaxed geometry, computed with PBE.

Cell lengths 6.7843, 6.7843, 6.7843 Å; angles 132.47, 132.47, 69.49 degrees
Sites, in units of the cell vectors:
1 Mg 0.3750 0.6250 0.7500
2 Mg 0.6250 0.3750 0.2500
3 Cu 0.0000 0.0000 0.0000
4 Cu 0.0000 0.0000 0.5000
5 Cu 0.0000 0.5000 0.0000
6 Cu 0.5000 0.0000 0.5000
7 O 0.2208 0.7442 0.4766
8 O 0.2324 0.2558 0.9766
9 O 0.2558 0.2324 0.4766
10 O 0.2558 0.7792 0.0234
11 O 0.7442 0.2208 0.9766
12 O 0.7442 0.7676 0.5234
13 O 0.7676 0.7442 0.0234
14 O 0.7792 0.2558 0.5234

## Properties
- SG = No. 141
- relative energy among the computed polymorphs (eV per atom) = 0.024
- raw total energy (eV per atom) = -5.305
- crystal system = tetragonal
- uncorrected formation energy (eV/atom) = -1.073


No. 19
Crystalline Rb3Dy3NpO8 at its relaxed geometry, computed with PBE.

Cell lengths 7.7830, 7.7830, 7.7830 Å; angles 53.45, 53.45, 53.45 degrees
Sites, in units of the cell vectors:
1 Rb 0.0000 0.5000 0.5000
2 Rb 0.5000 0.0000 0.5000
3 Rb 0.5000 0.5000 0.0000
4 Dy 0.0000 0.0000 0.5000
5 Dy 0.0000 0.5000 0.0000
6 Dy 0.5000 0.0000 0.0000
7 Np 0.5000 0.5000 0.5000
8 O 0.2232 0.2232 0.2232
9 O 0.2317 0.7171 0.7171
10 O 0.2829 0.2829 0.7683
11 O 0.2829 0.7683 0.2829
12 O 0.7171 0.2317 0.7171
13 O 0.7171 0.7171 0.2317
14 O 0.7683 0.2829 0.2829
15 O 0.7768 0.7768 0.7768

## Properties
- SG = No. 166
- raw total energy (eV per atom) = -7.388
- crystal system = trigonal
- uncorrected formation energy (eV/atom) = -2.767


No. 20
Crystalline K2RbZnF5 at its relaxed geometry, computed with PBE.

Cell lengths 8.0543, 8.0543, 8.0543 Å; angles 125.41, 125.41, 80.86 degrees
Sites, in units of the cell vectors:
1 K 0.1786 0.6786 0.8571
2 K 0.3214 0.1786 0.5000
3 K 0.6786 0.8214 0.5000
4 K 0.8214 0.3214 0.1429
5 Rb 0.2500 0.2500 0.0000
6 Rb 0.7500 0.7500 0.0000
7 Zn 0.2500 0.7500 0.5000
8 Zn 0.7500 0.2500 0.5000
9 F 0.0000 0.0000 0.0000
10 F 0.0084 0.7911 0.5000
11 F 0.2089 0.7089 0.2173
12 F 0.2911 0.5084 0.5000
13 F 0.4916 0.9916 0.7827
14 F 0.5000 0.5000 0.0000
15 F 0.5084 0.0084 0.2173
16 F 0.7089 0.4916 0.5000
17 F 0.7911 0.2911 0.7827
18 F 0.9916 0.2089 0.5000

## Properties
- SG = No. 140
- raw total energy (eV per atom) = -4.144
- crystal system = tetragonal
- uncorrected formation energy (eV/atom) = -2.611